(1)
VASP calculation (GGA-PBE) on a geometry-optimized Ti2FeCu structure.

Values from the calculation:
Crystal system: tetragonal

a = 6.6770 Å, b = 6.6770 Å, c = 5.3837 Å
α = 51.68°, β = 51.68°, γ = 90.00°
Closest atoms and distances in Å follow each position.
Sites, in units of the cell vectors:
Fe1 0.5000 0.5000 0.0000  4 Ti 2.35, 2 Cu 2.59
Fe2 0.2500 0.7500 0.5000  4 Ti 2.35, 2 Cu 2.59
Cu1 0.0000 0.0000 0.0000  4 Ti 2.55, 2 Fe 2.59
Cu2 0.7500 0.2500 0.5000  4 Ti 2.55, 2 Fe 2.59
Ti1 0.6026 0.1250 0.2500  2 Fe 2.35, 2 Cu 2.55, 2 Ti 2.60
Ti2 0.1474 0.6250 0.2500  2 Fe 2.35, 2 Cu 2.55, 2 Ti 2.60
Ti3 0.3750 0.3974 0.7500  2 Fe 2.35, 2 Cu 2.55, 2 Ti 2.60
Ti4 0.8750 0.8526 0.7500  2 Fe 2.35, 2 Cu 2.55, 2 Ti 2.60

(2)
VASP calculation (GGA-PBE) on a geometry-optimized TiFeCu structure.

Values from the calculation:
Crystal system: tetragonal

a = 3.0928 Å, b = 3.0928 Å, c = 4.6810 Å
α = 109.29°, β = 109.29°, γ = 90.00°
Closest atoms and distances in Å follow each position.
Sites, in units of the cell vectors:
Fe1 0.3289 0.3289 0.6578  4 Ti 2.53, 5 Cu 2.59-2.76
Cu1 0.9956 0.9956 0.9912  5 Fe 2.59-2.76, 5 Ti 2.65
Ti1 0.6755 0.6755 0.3510  4 Fe 2.53, 5 Cu 2.65

(3)
VASP calculation (GGA-PBE) on a geometry-optimized TiTl2FeCu structure.

Values from the calculation:
Crystal system: tetragonal

a = 5.3679 Å, b = 4.6323 Å, c = 5.3679 Å
α = 90.00°, β = 90.00°, γ = 90.00°
Closest atoms and distances in Å follow each position.
Sites, in units of the cell vectors:
Tl1 0.0000 0.0000 0.5000  2 Ti 2.68
Tl2 0.5000 0.0000 0.0000  2 Ti 2.68
Fe1 0.5000 0.5000 0.5000  8 Tl 3.55, 4 Cu 3.80
Cu1 0.0000 0.5000 0.0000  2 Ti 2.32
Ti1 0.0000 0.0000 0.0000  2 Cu 2.32

| no. | VASP energy (eV/atom) | energy relative to the elements (eV per atom) |
| --- | --- | --- |
| 1 | -6.87 | 0.220 |
| 2 | -6.88 | -0.061 |
| 3 | -3.78 | 1.261 |